Record 1
# Sc10Bi3Te3 PBE relaxed
# - final energy (eV/atom) = -5.98
# - raw formation energy (eV per formula unit) = -11.3
data_Sc10Bi3Te3
_cell_length_a 8.6114
_cell_length_b 8.6114
_cell_length_c 5.9029
_cell_angle_alpha 90.00
_cell_angle_beta 90.00
_cell_angle_gamma 120.00
_space_group_name_H-M_alt 'P -6 2 m'
_space_group_IT_number 189
_space_group_name_Hall 'P -6 -2'
loop_
_atom_site_label
_atom_site_fract_x
_atom_site_fract_y
_atom_site_fract_z
Sc1 0.0000 0.2503 0.0000
Sc2 0.0000 0.7509 0.5000
Sc3 0.3333 0.6667 0.2470
Bi1 0.0000 0.3868 0.5000
Te1 0.0000 0.6170 0.0000

---

Record 2
# Tb5Ge2S2 PBE relaxed
# - final energy (eV/atom) = -5.75
# - raw formation energy (eV per formula unit) = -11.1
data_Tb5Ge2S2
_cell_length_a 14.274
_cell_length_b 7.521
_cell_length_c 7.652
_cell_angle_alpha 90.00
_cell_angle_beta 90.00
_cell_angle_gamma 90.00
_space_group_name_H-M_alt 'C m c e'
_space_group_IT_number 64
_space_group_name_Hall '-C 2ac 2'
loop_
_atom_site_label
_atom_site_fract_x
_atom_site_fract_y
_atom_site_fract_z
Tb1 0.000 0.000 0.000
Tb2 0.140 0.169 0.341
Ge1 0.000 0.133 0.634
S1 0.196 0.000 0.000

---

Record 3
# Ce2PaGe3Rh4 PBE relaxed
# - final energy (eV/atom) = -7.29
# - ΔE_f (eV per atom) = -0.830
data_Ce2PaGe3Rh4
_cell_length_a 4.245
_cell_length_b 4.245
_cell_length_c 10.917
_cell_angle_alpha 90.00
_cell_angle_beta 90.00
_cell_angle_gamma 90.00
_space_group_name_H-M_alt 'P -4 m 2'
_space_group_IT_number 115
loop_
_space_group_symop_operation_xyz
'x,y,z'
'y,-x,-z'
'-x,-y,z'
'-y,x,-z'
'-x,y,z'
'-y,-x,-z'
'x,-y,z'
'y,x,-z'
loop_
_atom_site_label
_atom_site_fract_x
_atom_site_fract_y
_atom_site_fract_z
Ce1 0.000 0.500 0.229
Pa1 0.000 0.000 0.500
Ge1 0.000 0.500 0.877
Ge2 0.500 0.500 0.500
Rh1 0.000 0.000 0.000
Rh2 0.000 0.500 0.651
Rh3 0.500 0.500 0.000

---

Record 4
# YBe3 PBE relaxed
# - final energy (eV/atom) = -4.40
# - ΔE_f (eV per atom) = 0.015
data_YBe3
_cell_length_a 6.0991
_cell_length_b 6.0991
_cell_length_c 3.6436
_cell_angle_alpha 90.00
_cell_angle_beta 90.00
_cell_angle_gamma 120.00
_space_group_name_H-M_alt 'P 63/m m c'
_space_group_IT_number 194
_space_group_name_Hall '-P 6c 2c'
loop_
_atom_site_label
_atom_site_fract_x
_atom_site_fract_y
_atom_site_fract_z
Y1 0.3333 0.6667 0.2500
Be1 0.1176 0.2353 0.7500

---

Record 5
# LiInBiRh PBE relaxed
# - final energy (eV/atom) = -4.23
# - ΔE_f (eV per atom) = -0.255
data_LiInBiRh
_cell_length_a 6.755
_cell_length_b 6.755
_cell_length_c 6.755
_cell_angle_alpha 90.00
_cell_angle_beta 90.00
_cell_angle_gamma 90.00
_space_group_name_H-M_alt 'F -4 3 m'
_space_group_IT_number 216
_space_group_name_Hall 'F -4 2 3'
loop_
_atom_site_label
_atom_site_fract_x
_atom_site_fract_y
_atom_site_fract_z
Li1 0.000 0.000 0.000
In1 0.250 0.250 0.250
Bi1 0.250 0.250 0.750
Rh1 0.000 0.000 0.500

---

Record 6
# Ac5Si2 PBE relaxed
# - final energy (eV/atom) = -4.81
# - raw formation energy (eV per formula unit) = -2.3
data_Ac5Si2
_cell_length_a 17.539
_cell_length_b 7.138
_cell_length_c 8.279
_cell_angle_alpha 90.00
_cell_angle_beta 97.86
_cell_angle_gamma 90.00
_space_group_name_H-M_alt 'C 1 2/c 1'
_space_group_IT_number 15
loop_
_space_group_symop_operation_xyz
'x,y,z'
'-x,-y,-z'
'-x,y,-z+1/2'
'x,-y,z+1/2'
'x+1/2,y+1/2,z'
'-x+1/2,-y+1/2,-z'
'-x+1/2,y+1/2,-z+1/2'
'x+1/2,-y+1/2,z+1/2'
loop_
_atom_site_label
_atom_site_fract_x
_atom_site_fract_y
_atom_site_fract_z
Ac1 0.000 0.090 0.250
Ac2 0.094 0.402 0.921
Ac3 0.220 0.114 0.301
Si1 0.110 0.186 0.585

---

Record 7
# LiLa2Au7 PBE relaxed
# - final energy (eV/atom) = -3.77
# - ΔE_f (eV per atom) = -0.298
data_LiLa2Au7
_cell_length_a 9.794
_cell_length_b 9.794
_cell_length_c 9.794
_cell_angle_alpha 90.00
_cell_angle_beta 90.00
_cell_angle_gamma 90.00
_space_group_name_H-M_alt 'F m -3 m'
_space_group_IT_number 225
_space_group_name_Hall '-F 4 2 3'
loop_
_atom_site_label
_atom_site_fract_x
_atom_site_fract_y
_atom_site_fract_z
Li1 0.000 0.000 0.000
La1 0.250 0.250 0.250
Au1 0.000 0.000 0.231
Au2 0.000 0.000 0.500

---

Record 8
# K2MgI PBE relaxed
# - final energy (eV/atom) = -1.72
# - raw formation energy (eV per formula unit) = -1.6
data_K2MgI
_cell_length_a 9.754
_cell_length_b 9.754
_cell_length_c 8.796
_cell_angle_alpha 90.00
_cell_angle_beta 90.00
_cell_angle_gamma 90.00
_space_group_name_H-M_alt 'I -4 2 d'
_space_group_IT_number 122
_space_group_name_Hall 'I -4 2bw'
loop_
_atom_site_label
_atom_site_fract_x
_atom_site_fract_y
_atom_site_fract_z
K1 0.219 0.250 0.125
Mg1 0.000 0.000 0.500
I1 0.000 0.000 0.000

---

Record 9
# AlCd2Co PBE relaxed
# - final energy (eV/atom) = -2.97
# - ΔE_f (eV per atom) = 0.196
data_AlCd2Co
_cell_length_a 3.990
_cell_length_b 4.010
_cell_length_c 4.162
_cell_angle_alpha 90.00
_cell_angle_beta 90.00
_cell_angle_gamma 90.00
_space_group_name_H-M_alt 'P m m m'
_space_group_IT_number 47
loop_
_space_group_symop_operation_xyz
'x,y,z'
'-x,-y,-z'
'-x,-y,z'
'x,y,-z'
'x,-y,-z'
'-x,y,z'
'-x,y,-z'
'x,-y,z'
loop_
_atom_site_label
_atom_site_fract_x
_atom_site_fract_y
_atom_site_fract_z
Al1 0.000 0.000 0.000
Cd1 0.000 0.500 0.500
Cd2 0.500 0.000 0.500
Co1 0.500 0.500 0.000

---

Record 10
# Pm2NpAgTe5 PBE relaxed
# - final energy (eV/atom) = -5.50
# - raw formation energy (eV per formula unit) = -8.5
data_Pm2NpAgTe5
_cell_length_a 4.387
_cell_length_b 18.813
_cell_length_c 13.380
_cell_angle_alpha 90.00
_cell_angle_beta 90.00
_cell_angle_gamma 90.00
_space_group_name_H-M_alt 'C m c 21'
_space_group_IT_number 36
loop_
_space_group_symop_operation_xyz
'x,y,z'
'-x,-y,z+1/2'
'-x,y,z'
'x,-y,z+1/2'
'x+1/2,y+1/2,z'
'-x+1/2,-y+1/2,z+1/2'
'-x+1/2,y+1/2,z'
'x+1/2,-y+1/2,z+1/2'
loop_
_atom_site_label
_atom_site_fract_x
_atom_site_fract_y
_atom_site_fract_z
Pm1 0.000 0.112 0.000
Pm2 0.000 0.126 0.619
Np1 0.000 0.195 0.323
Ag1 0.000 0.434 0.774
Te1 0.000 0.043 0.393
Te2 0.000 0.288 0.984
Te3 0.000 0.307 0.653
Te4 0.000 0.361 0.314
Te5 0.000 0.498 0.092

---

Record 11
# Tm4Cd5Hg2 PBE relaxed
# - final energy (eV/atom) = -2.37
# - ΔE_f (eV per atom) = -0.276
data_Tm4Cd5Hg2
_cell_length_a 7.805
_cell_length_b 3.458
_cell_length_c 10.117
_cell_angle_alpha 90.00
_cell_angle_beta 95.21
_cell_angle_gamma 90.00
_space_group_name_H-M_alt 'P 1 2/m 1'
_space_group_IT_number 10
loop_
_space_group_symop_operation_xyz
'x,y,z'
'-x,-y,-z'
'-x,y,-z'
'x,-y,z'
loop_
_atom_site_label
_atom_site_fract_x
_atom_site_fract_y
_atom_site_fract_z
Tm1 0.168 0.000 0.385
Tm2 0.268 0.000 0.940
Cd1 0.191 0.500 0.656
Cd2 0.449 0.500 0.200
Cd3 0.500 0.500 0.500
Hg1 0.067 0.500 0.141

---

Record 12
# Ga2Te2O7 PBE relaxed
# - final energy (eV/atom) = -5.60
# - raw formation energy (eV per formula unit) = -14.6
data_Ga2Te2O7
_cell_length_a 7.611
_cell_length_b 7.798
_cell_length_c 11.472
_cell_angle_alpha 90.00
_cell_angle_beta 96.37
_cell_angle_gamma 90.00
_space_group_name_H-M_alt 'C 1 2/c 1'
_space_group_IT_number 15
loop_
_space_group_symop_operation_xyz
'x,y,z'
'-x,-y,-z'
'-x,y,-z+1/2'
'x,-y,z+1/2'
'x+1/2,y+1/2,z'
'-x+1/2,-y+1/2,-z'
'-x+1/2,y+1/2,-z+1/2'
'x+1/2,-y+1/2,z+1/2'
loop_
_atom_site_label
_atom_site_fract_x
_atom_site_fract_y
_atom_site_fract_z
Ga1 0.055 0.178 0.491
Te1 0.221 0.477 0.188
O1 0.000 0.434 0.750
O2 0.036 0.032 0.896
O3 0.108 0.340 0.068
O4 0.228 0.304 0.601

---

Record 13
# MoP PBE relaxed
# - final energy (eV/atom) = -7.99
# - ΔE_f (eV per atom) = 0.126
data_MoP
_cell_length_a 3.272
_cell_length_b 4.485
_cell_length_c 9.613
_cell_angle_alpha 90.00
_cell_angle_beta 90.00
_cell_angle_gamma 90.00
_space_group_name_H-M_alt 'C m m e'
_space_group_IT_number 67
_space_group_name_Hall '-C 2a 2'
loop_
_atom_site_label
_atom_site_fract_x
_atom_site_fract_y
_atom_site_fract_z
Mo1 0.000 0.250 0.119
P1 0.000 0.250 0.692

---

Record 14
# Pm3Nd2Pb3 PBE relaxed
# - final energy (eV/atom) = -4.77
# - ΔE_f (eV per atom) = -0.404
data_Pm3Nd2Pb3
_cell_length_a 4.532
_cell_length_b 5.009
_cell_length_c 21.840
_cell_angle_alpha 90.00
_cell_angle_beta 90.00
_cell_angle_gamma 90.00
_space_group_name_H-M_alt 'I m m m'
_space_group_IT_number 71
_space_group_name_Hall '-I 2 2'
loop_
_atom_site_label
_atom_site_fract_x
_atom_site_fract_y
_atom_site_fract_z
Pm1 0.000 0.000 0.000
Pm2 0.000 0.500 0.119
Nd1 0.000 0.000 0.243
Pb1 0.000 0.000 0.500
Pb2 0.000 0.500 0.371

---

Record 15
# ZnReI3 PBE relaxed
# - final energy (eV/atom) = -2.61
# - raw formation energy (eV per formula unit) = 5.3
data_ZnReI3
_cell_length_a 5.606
_cell_length_b 5.606
_cell_length_c 5.606
_cell_angle_alpha 90.00
_cell_angle_beta 90.00
_cell_angle_gamma 90.00
_space_group_name_H-M_alt 'P m -3 m'
_space_group_IT_number 221
_space_group_name_Hall '-P 4 2 3'
loop_
_atom_site_label
_atom_site_fract_x
_atom_site_fract_y
_atom_site_fract_z
Zn1 0.000 0.000 0.000
Re1 0.500 0.500 0.500
I1 0.000 0.000 0.500

---

Record 16
# Nd6Ni2RuBr3 PBE relaxed
# - final energy (eV/atom) = -5.36
# - raw formation energy (eV per formula unit) = -9.8
data_Nd6Ni2RuBr3
_cell_length_a 19.560
_cell_length_b 4.088
_cell_length_c 9.110
_cell_angle_alpha 90.00
_cell_angle_beta 112.33
_cell_angle_gamma 90.00
_space_group_name_H-M_alt 'C 1 2/m 1'
_space_group_IT_number 12
loop_
_space_group_symop_operation_xyz
'x,y,z'
'-x,-y,-z'
'-x,y,-z'
'x,-y,z'
'x+1/2,y+1/2,z'
'-x+1/2,-y+1/2,-z'
'-x+1/2,y+1/2,-z'
'x+1/2,-y+1/2,z'
loop_
_atom_site_label
_atom_site_fract_x
_atom_site_fract_y
_atom_site_fract_z
Nd1 0.012 0.000 0.220
Nd2 0.153 0.500 0.116
Nd3 0.177 0.500 0.554
Ni1 0.170 0.000 0.342
Ru1 0.000 0.500 0.000
Br1 0.000 0.500 0.500
Br2 0.166 0.000 0.833

---

Record 17
# Sr2PaI8 PBE relaxed
# - final energy (eV/atom) = -3.58
# - raw formation energy (eV per formula unit) = -14.1
data_Sr2PaI8
_cell_length_a 16.500
_cell_length_b 7.754
_cell_length_c 8.492
_cell_angle_alpha 90.00
_cell_angle_beta 90.54
_cell_angle_gamma 90.00
_space_group_name_H-M_alt 'C 1 2/m 1'
_space_group_IT_number 12
loop_
_space_group_symop_operation_xyz
'x,y,z'
'-x,-y,-z'
'-x,y,-z'
'x,-y,z'
'x+1/2,y+1/2,z'
'-x+1/2,-y+1/2,-z'
'-x+1/2,y+1/2,-z'
'x+1/2,-y+1/2,z'
loop_
_atom_site_label
_atom_site_fract_x
_atom_site_fract_y
_atom_site_fract_z
Sr1 0.134 0.000 0.044
Pa1 0.000 0.000 0.500
I1 0.028 0.253 0.770
I2 0.179 0.000 0.425
I3 0.191 0.500 0.092

---

Record 18
# Sr6Gd PBE relaxed
# - final energy (eV/atom) = -2.25
# - ΔE_f (eV per atom) = 1.207
data_Sr6Gd
_cell_length_a 10.410
_cell_length_b 10.410
_cell_length_c 10.410
_cell_angle_alpha 90.00
_cell_angle_beta 90.00
_cell_angle_gamma 90.00
_space_group_name_H-M_alt 'I m -3 m'
_space_group_IT_number 229
_space_group_name_Hall '-I 4 2 3'
loop_
_atom_site_label
_atom_site_fract_x
_atom_site_fract_y
_atom_site_fract_z
Sr1 0.000 0.250 0.500
Gd1 0.000 0.000 0.000

---

Record 19
# LaMnBe2 PBE relaxed
# - final energy (eV/atom) = -4.76
# - ΔE_f (eV per atom) = 0.632
data_LaMnBe2
_cell_length_a 4.755
_cell_length_b 4.755
_cell_length_c 3.081
_cell_angle_alpha 90.00
_cell_angle_beta 90.00
_cell_angle_gamma 90.00
_space_group_name_H-M_alt 'P 4/m m m'
_space_group_IT_number 123
_space_group_name_Hall '-P 4 2'
loop_
_atom_site_label
_atom_site_fract_x
_atom_site_fract_y
_atom_site_fract_z
La1 0.000 0.000 0.000
Mn1 0.500 0.500 0.000
Be1 0.000 0.500 0.500

---

Record 20
# Na4InBi3S8 PBE relaxed
# - final energy (eV/atom) = -4.06
# - raw formation energy (eV per formula unit) = -12.3
data_Na4InBi3S8
_cell_length_a 8.0395
_cell_length_b 8.0395
_cell_length_c 20.3685
_cell_angle_alpha 90.00
_cell_angle_beta 90.00
_cell_angle_gamma 120.00
_space_group_name_H-M_alt 'R -3 m'
_space_group_IT_number 166
_space_group_name_Hall '-R 3 2"'
loop_
_atom_site_label
_atom_site_fract_x
_atom_site_fract_y
_atom_site_fract_z
Na1 0.0000 0.0000 0.0000
Na2 0.0000 0.5000 0.0000
In1 0.0000 0.0000 0.5000
Bi1 0.0000 0.5000 0.5000
S1 0.0000 0.0000 0.2467
S2 0.0148 0.5074 0.2433

---

Record 21
# Sm2HoTh PBE relaxed
# - final energy (eV/atom) = -5.31
# - ΔE_f (eV per atom) = 0.047
data_Sm2HoTh
_cell_length_a 5.064
_cell_length_b 5.064
_cell_length_c 5.086
_cell_angle_alpha 90.00
_cell_angle_beta 90.00
_cell_angle_gamma 90.00
_space_group_name_H-M_alt 'P 4/m m m'
_space_group_IT_number 123
_space_group_name_Hall '-P 4 2'
loop_
_atom_site_label
_atom_site_fract_x
_atom_site_fract_y
_atom_site_fract_z
Sm1 0.000 0.500 0.000
Ho1 0.000 0.000 0.500
Th1 0.500 0.500 0.500

---

Record 22
# Ni3Br PBE relaxed
# - final energy (eV/atom) = -4.33
# - raw formation energy (eV per formula unit) = 1.7
data_Ni3Br
_cell_length_a 7.665
_cell_length_b 2.955
_cell_length_c 6.759
_cell_angle_alpha 90.00
_cell_angle_beta 118.73
_cell_angle_gamma 90.00
_space_group_name_H-M_alt 'C 1 2/m 1'
_space_group_IT_number 12
loop_
_space_group_symop_operation_xyz
'x,y,z'
'-x,-y,-z'
'-x,y,-z'
'x,-y,z'
'x+1/2,y+1/2,z'
'-x+1/2,-y+1/2,-z'
'-x+1/2,y+1/2,-z'
'x+1/2,-y+1/2,z'
loop_
_atom_site_label
_atom_site_fract_x
_atom_site_fract_y
_atom_site_fract_z
Ni1 0.000 0.000 0.000
Ni2 0.150 0.500 0.842
Br1 0.000 0.000 0.500